VASP calculation (GGA-PBE) on a geometry-optimized Ce5Hg4 structure.

```
Ce5Hg4
1.0
-5.0784 5.0784 2.2818
5.0784 -5.0784 2.2818
5.0784 5.0784 -2.2818
Ce Hg
5 4
Cartesian
0.0000 0.0000 0.0000
3.3105 3.3105 0.0000
1.7680 -1.7680 2.2818
-1.7680 1.7680 2.2818
1.7680 1.7680 2.2818
3.4410 0.0000 0.0000
6.7159 0.0000 0.0000
0.0000 3.4410 0.0000
0.0000 6.7159 0.0000
```

Values from the calculation:
The volume is 235 Å³ per cell. The energy relative to the elements comes out at -142.6 meV/atom. Its space-group type is I4/mmm. The density of states at the Fermi level comes out at 23.59 states/eV/f.u. As for the total DFT energy (no corrections): -3.57 eV per atom. As for the crystal system: tetragonal.